No. 1
{
  "formula": "Al2PPt",
  "functional": "PBE-GGA",
  "state": "relaxed",
  "space_group": "P4mm (99)",
  "magnetic_moment_mub_per_cell": 0.00,
  "ef_ev_per_atom": -0.16,
  "lattice": [[-1.2970, -2.5521, -0.2880], [0.8715, -0.1329, -2.7388], [6.2418, -3.4149, 2.1518]],
  "species": ["P", "Al", "Al", "Pt"],
  "fractional_positions": [[0.0000, 0.0000, 0.5065], [0.0000, 0.0000, 0.9841], [0.5000, 0.5000, 0.2548], [0.5000, 0.5000, 0.7545]]
}

No. 2
{
  "formula": "Sc3VBr",
  "functional": "PBE-GGA",
  "state": "relaxed",
  "space_group": "Pm-3m (221)",
  "magnetic_moment_mub_per_cell": 0.02,
  "de_polymorph_ev_per_atom": 0.121,
  "formation_energy_uncorrected_kj_per_mol_fu": 206.0,
  "lattice": [[-2.1090, 3.2174, -3.2533], [-4.5046, -0.8317, 2.0976], [0.8025, 3.7868, 3.2248]],
  "species": ["Sc", "Sc", "Sc", "Br", "V"],
  "fractional_positions": [[0.0000, 0.5000, 0.0000], [0.0000, 0.0000, 0.5000], [0.5000, 0.0000, 0.0000], [0.5000, 0.5000, 0.5000], [0.0000, 0.0000, 0.0000]]
}

No. 3
{
  "formula": "YErZnTc",
  "functional": "PBE-GGA",
  "state": "relaxed",
  "space_group": "F-43m (216)",
  "magnetic_moment_mub_per_cell": 0.00,
  "ef_ev_per_atom": -0.15,
  "lattice": [[-3.0380, -3.6997, -1.1052], [1.6820, -4.6153, -0.0941], [-1.3641, -3.1832, 3.4850]],
  "species": ["Y", "Zn", "Tc", "Er"],
  "fractional_positions": [[0.7500, 0.7500, 0.7500], [0.0000, 0.0000, 0.0000], [0.5000, 0.5000, 0.5000], [0.2500, 0.2500, 0.2500]]
}

No. 4
{
  "formula": "PuTiTe",
  "functional": "PBE-GGA",
  "state": "relaxed",
  "space_group": "P2_1/m (11)",
  "magnetic_moment_mub_per_cell": 1.61,
  "de_polymorph_ev_per_atom": 0.019,
  "formation_energy_uncorrected_kj_per_mol_fu": -68.4,
  "lattice": [[4.2471, 0.0000, 0.6206], [0.0000, 3.6236, 0.0000], [-0.8763, 0.0000, 7.8784]],
  "species": ["Te", "Te", "Pu", "Pu", "Ti", "Ti"],
  "fractional_positions": [[0.7813, 0.2500, 0.8010], [0.2187, 0.7500, 0.1990], [0.3279, 0.2500, 0.5181], [0.6721, 0.7500, 0.4819], [0.7306, 0.2500, 0.1490], [0.2694, 0.7500, 0.8510]]
}

No. 5
{
  "formula": "NaAc2Tl2",
  "functional": "PBE-GGA",
  "state": "relaxed",
  "space_group": "P4/mbm (127)",
  "magnetic_moment_mub_per_cell": 0.00,
  "ef_ev_per_atom": -0.24,
  "de_polymorph_ev_per_atom": 0.000,
  "lattice": [[4.9591, 0.0000, 0.0000], [0.0000, 8.5244, 0.0000], [0.0000, 0.0000, 8.5244]],
  "species": ["Na", "Na", "Ac", "Ac", "Ac", "Ac", "Tl", "Tl", "Tl", "Tl"],
  "fractional_positions": [[0.0000, 0.0000, 0.0000], [0.0000, 0.5000, 0.5000], [0.5000, 0.1589, 0.6589], [0.5000, 0.6589, 0.8411], [0.5000, 0.8411, 0.3411], [0.5000, 0.3411, 0.1589], [0.0000, 0.3601, 0.8601], [0.0000, 0.8601, 0.6399], [0.0000, 0.6399, 0.1399], [0.0000, 0.1399, 0.3601]]
}

No. 6
{
  "formula": "AgSb2Os",
  "functional": "PBE-GGA",
  "state": "relaxed",
  "space_group": "I-4m2 (119)",
  "magnetic_moment_mub_per_cell": 0.00,
  "de_polymorph_ev_per_atom": 0.352,
  "formation_energy_uncorrected_kj_per_mol_fu": 258.8,
  "lattice": [[5.5467, -0.0002, 0.0000], [2.4905, 4.9561, 0.0000], [-4.0186, -2.4780, 2.9114]],
  "species": ["Sb", "Sb", "Os", "Ag"],
  "fractional_positions": [[0.0000, 0.0000, 0.0000], [0.2500, 0.7500, 0.5000], [0.7500, 0.2500, 0.5000], [0.5000, 0.5000, 0.0000]]
}